No. 1
Entry from the Open Quantum Materials Database: an optimized crystal structure of YErS2Br2 (PBE).

a = 4.0478 Å, b = 5.3483 Å, c = 9.0830 Å
α = 90.00°, β = 90.00°, γ = 90.00°
Sites, in units of the cell vectors:
Br: 0.5000 0.0000 0.3405
Br: 0.0000 0.5000 0.6552
Er: 0.0000 0.0000 0.1265
S: 0.0000 0.5000 0.0783
S: 0.5000 0.0000 0.9262
Y: 0.5000 0.5000 0.8733

calculated volume = 32.8 A^3/atom
calculated total energy = -5.788 eV per atom

***

No. 2
Entry from the Open Quantum Materials Database: an optimized crystal structure of Co9Ni4 (PBE).

a = 8.4791 Å, b = 8.4791 Å, c = 8.4791 Å
α = 31.28°, β = 31.28°, γ = 31.28°
Last column: magnetic moment on the atom in μB.
Sites, in units of the cell vectors:
Co: 0.0000 0.0000 0.0000  1.75
Co: 0.5827 0.0901 0.0901  1.50
Co: 0.0901 0.5827 0.0901  1.89
Co: 0.1642 0.1642 0.1642  -1.16
Co: 0.9099 0.9099 0.4173  1.58
Co: 0.0901 0.0901 0.5827  1.58
Co: 0.8358 0.8358 0.8358  -1.16
Co: 0.9099 0.4173 0.9099  1.89
Co: 0.4173 0.9099 0.9099  1.50
Ni: 0.3502 0.3502 0.3502  0.66
Ni: 0.4527 0.4527 0.4527  0.70
Ni: 0.5473 0.5473 0.5473  0.70
Ni: 0.6498 0.6498 0.6498  0.66

calculated volume = 11.2 A^3/atom
ΔE_f = 0.230 eV/atom

***

No. 3
Entry from the Open Quantum Materials Database: an optimized crystal structure of HfBeTe (PBE).

a = 4.4002 Å, b = 4.4002 Å, c = 4.4002 Å
α = 60.00°, β = 60.00°, γ = 60.00°
Sites, in units of the cell vectors:
Be: 0.0000 0.0000 0.0000
Hf: 0.2500 0.2500 0.2500
Te: 0.7500 0.7500 0.7500

calculated volume = 20.1 A^3/atom
calculated total energy = -5.148 eV per atom

***

No. 4
Entry from the Open Quantum Materials Database: an optimized crystal structure of CuSi5Au3 (PBE).

a = 6.5366 Å, b = 6.5366 Å, c = 5.3659 Å
α = 90.00°, β = 90.00°, γ = 120.00°
Sites, in units of the cell vectors:
Au: 0.5000 0.0000 0.5000
Au: 0.0000 0.5000 0.5000
Au: 0.5000 0.5000 0.5000
Cu: 0.0000 0.0000 0.0000
Si: 0.6667 0.3333 0.2103
Si: 0.3333 0.6667 0.2103
Si: 0.0000 0.0000 0.5000
Si: 0.6667 0.3333 0.7897
Si: 0.3333 0.6667 0.7897

calculated volume = 22.1 A^3/atom
calculated total energy = -3.975 eV per atom

***

No. 5
Entry from the Open Quantum Materials Database: an optimized crystal structure of AuN (PBE).

a = 3.1389 Å, b = 3.1389 Å, c = 3.0165 Å
α = 90.00°, β = 90.00°, γ = 120.00°
Sites, in units of the cell vectors:
Au: 0.6667 0.3333 0.7500
N: 0.3333 0.6667 0.2500

calculated volume = 12.9 A^3/atom
calculated total energy = -3.929 eV per atom

***

No. 6
Entry from the Open Quantum Materials Database: an optimized crystal structure of K2AgTe2Au (PBE).

a = 4.7806 Å, b = 4.7806 Å, c = 9.9887 Å
α = 90.00°, β = 90.00°, γ = 120.00°
Sites, in units of the cell vectors:
Ag: 0.3333 0.6667 0.5000
Au: 0.6667 0.3333 0.0000
K: 0.0000 0.0000 0.2500
K: 0.0000 0.0000 0.7500
Te: 0.3333 0.6667 0.0000
Te: 0.6667 0.3333 0.5000

calculated volume = 33.0 A^3/atom
calculated total energy = -3.105 eV per atom

***

No. 7
Entry from the Open Quantum Materials Database: an optimized crystal structure of Cu6Ag6Sb4Se12S (PBE).

a = 9.7091 Å, b = 9.7091 Å, c = 9.7091 Å
α = 109.47°, β = 109.47°, γ = 109.47°
Sites, in units of the cell vectors:
Ag: 0.2235 0.2235 0.0000
Ag: 0.7765 0.7765 0.0000
Ag: 0.2235 0.0000 0.2235
Ag: 0.0000 0.2235 0.2235
Ag: 0.7765 0.0000 0.7765
Ag: 0.0000 0.7765 0.7765
Cu: 0.7500 0.5000 0.2500
Cu: 0.5000 0.7500 0.2500
Cu: 0.7500 0.2500 0.5000
Cu: 0.2500 0.7500 0.5000
Cu: 0.5000 0.2500 0.7500
Cu: 0.2500 0.5000 0.7500
S: 0.0000 0.0000 0.0000
Sb: 0.5509 0.0000 0.0000
Sb: 0.0000 0.5509 0.0000
Sb: 0.4491 0.4491 0.4491
Sb: 0.0000 0.0000 0.5509
Se: 0.5001 0.2502 0.0000
Se: 0.2502 0.5001 0.0000
Se: 0.7498 0.7498 0.2499
Se: 0.5001 0.0000 0.2502
Se: 0.0000 0.5001 0.2502
Se: 0.4999 0.7501 0.4999
Se: 0.7501 0.4999 0.4999
Se: 0.2502 0.0000 0.5001
Se: 0.0000 0.2502 0.5001
Se: 0.7498 0.2499 0.7498
Se: 0.2499 0.7498 0.7498
Se: 0.4999 0.4999 0.7501

calculated volume = 24.3 A^3/atom
calculated total energy = -3.668 eV per atom

***

No. 8
Entry from the Open Quantum Materials Database: an optimized crystal structure of ScBeFeSn (PBE).

a = 4.4881 Å, b = 4.4881 Å, c = 4.4881 Å
α = 60.00°, β = 60.00°, γ = 60.00°
Last column: magnetic moment on the atom in μB.
Sites, in units of the cell vectors:
Be: 0.2500 0.2500 0.2500  -0.01
Fe: 0.5000 0.5000 0.5000  1.92
Sc: 0.7500 0.7500 0.7500  -0.23
Sn: 0.0000 0.0000 0.0000  -0.02

calculated volume = 16.0 A^3/atom
calculated total energy = -5.433 eV per atom

***

Which of these has the highest calculated volume? K2AgTe2Au